# La2AlAg

An optimized crystal structure of La2AlAg (GGA-PBE, Alexandria via LeMat-Bulk).

Lattice parameters (Å, degrees): 5.1497 3.7242 5.6146 90.01 90.00 90.00
With the nearest neighbours (Å) after each atom.
Element x y z (fractional)
Ag: 0.0000 0.6250 0.4628  2 Al 3.19, 8 La 3.19-3.56
Al: 0.5000 0.6250 0.7967  2 Ag 3.19, 8 La 3.26-3.46
La: 0.0000 0.1251 0.9234  4 Ag 3.19-3.56, 4 Al 3.26, 2 La 3.39
La: 0.5000 0.1249 0.3171  4 Al 3.27-3.46, 4 Ag 3.28, 2 La 3.39

Computed properties:
DOS(E_F): 3.78 states/eV/cell
Space-group type: Pmm2
Total DFT energy (no corrections): -4.41 eV per atom